No. 1
This record from Alexandria describes a geometry-optimized Tm2AgSe structure. The functional is PBE-GGA.

abc: 8.0474 8.0474 8.0474
angles: 27.62 27.62 27.62
Atoms (fractional coordinates):
Tm 0.0000 0.0000 0.0000
Tm 0.1652 0.1652 0.1652
Ag 0.5835 0.5835 0.5835
Se 0.4143 0.4143 0.4143

## Properties
For the energy relative to the lowest polymorph listed for this composition, the calculation gives 0.157 eV per atom. As for the total DFT energy (no corrections): -18.658 eV for the cell shown. The value obtained for the energy relative to the elements, uncorrected is -3.4 eV per formula unit. For the calculated volume, the calculation gives 24.718 A^3/atom.

No. 2
This record from Alexandria describes a geometry-optimized HfTiPO2 structure. The functional is PBE-GGA.

abc: 3.7750 3.7750 5.0599
angles: 90.00 90.00 90.00
Atoms (fractional coordinates):
Hf 0.0000 0.0000 0.0000
Ti 0.5000 0.5000 0.5000
P 0.5000 0.5000 0.0000
O 0.0000 0.5000 0.5000
O 0.5000 0.0000 0.5000

## Properties
For the energy relative to the lowest polymorph listed for this composition, the calculation gives 0.000 eV per atom. As for the total DFT energy (no corrections): -41.539 eV for the cell shown. The value obtained for the energy relative to the elements, uncorrected is -8.4 eV per formula unit. For the calculated volume, the calculation gives 14.422 A^3/atom.

No. 3
This record from Alexandria describes a geometry-optimized NaLi4Ag4 structure. The functional is PBE-GGA.

abc: 6.0994 6.0994 9.6387
angles: 90.00 90.00 90.00
Atoms (fractional coordinates):
Na 0.2500 0.7500 0.2500
Na 0.7500 0.2500 0.7500
Li 0.0248 0.2500 0.0378
Li 0.2500 0.0248 0.5378
Li 0.2500 0.4752 0.5378
Li 0.4752 0.2500 0.0378
Li 0.5248 0.7500 0.9622
Li 0.7500 0.5248 0.4622
Li 0.7500 0.9752 0.4622
Li 0.9752 0.7500 0.9622
Ag 0.0251 0.2500 0.3306
Ag 0.2500 0.0251 0.8306
Ag 0.2500 0.4749 0.8306
Ag 0.4749 0.2500 0.3306
Ag 0.5251 0.7500 0.6694
Ag 0.7500 0.5251 0.1694
Ag 0.7500 0.9749 0.1694
Ag 0.9749 0.7500 0.6694

## Properties
As for the energy of formation: -83 meV per atom. For the energy relative to the lowest polymorph listed for this composition, the calculation gives 0.040 eV per atom. As for the total DFT energy (no corrections): -42.244 eV for the cell shown. For the calculated volume, the calculation gives 19.921 A^3/atom.

No. 4
This record from Alexandria describes a geometry-optimized VFeCo6 structure. The functional is PBE-GGA.

abc: 5.0231 5.0231 4.0466
angles: 90.00 90.00 120.00
Atoms (fractional coordinates):
V 0.0000 0.0000 0.0000
Fe 0.3333 0.6667 0.5000
Co 0.0007 0.5003 0.0000
Co 0.3385 0.1693 0.5000
Co 0.4997 0.5003 0.0000
Co 0.4997 0.9993 0.0000
Co 0.8307 0.1693 0.5000
Co 0.8307 0.6615 0.5000

## Properties
As for the energy of formation: -40 meV per atom. For the energy relative to the lowest polymorph listed for this composition, the calculation gives 0.012 eV per atom. As for the total DFT energy (no corrections): -60.537 eV for the cell shown. For the calculated volume, the calculation gives 11.053 A^3/atom.

No. 5
This record from Alexandria describes a geometry-optimized YPa2S5 structure. The functional is PBE-GGA.

abc: 11.9202 7.7937 7.3502
angles: 90.00 90.00 90.00
Atoms (fractional coordinates):
Y 0.0037 0.2500 0.0773
Y 0.4963 0.7500 0.5773
Y 0.5037 0.2500 0.4227
Y 0.9963 0.7500 0.9227
Pa 0.1799 0.0001 0.5140
Pa 0.1799 0.4999 0.5140
Pa 0.3201 0.9999 0.0140
Pa 0.3201 0.5001 0.0140
Pa 0.6799 0.0001 0.9860
Pa 0.6799 0.4999 0.9860
Pa 0.8201 0.9999 0.4860
Pa 0.8201 0.5001 0.4860
S 0.0008 0.2500 0.4675
S 0.1057 0.5407 0.1621
S 0.1057 0.9593 0.1621
S 0.1853 0.2500 0.8217
S 0.2137 0.7500 0.7957
S 0.2863 0.2500 0.2957
S 0.3147 0.7500 0.3217
S 0.3943 0.0407 0.6621
S 0.3943 0.4593 0.6621
S 0.4992 0.7500 0.9675
S 0.5008 0.2500 0.0325
S 0.6057 0.5407 0.3379
S 0.6057 0.9593 0.3379
S 0.6853 0.2500 0.6783
S 0.7137 0.7500 0.7043
S 0.7863 0.2500 0.2043
S 0.8147 0.7500 0.1783
S 0.8943 0.0407 0.8379
S 0.8943 0.4593 0.8379
S 0.9992 0.7500 0.5325

## Properties
As for the total DFT energy (no corrections): -240.459 eV for the cell shown. The value obtained for the energy relative to the elements, uncorrected is -14.0 eV per formula unit. For the calculated volume, the calculation gives 21.339 A^3/atom.

No. 6
This record from Alexandria describes a geometry-optimized NaLiPr2Se4 structure. The functional is PBE-GGA.

abc: 8.4981 8.4981 8.4981
angles: 120.30 119.74 89.97
Atoms (fractional coordinates):
Na 0.5000 0.0000 0.0000
Na 0.5000 0.5000 0.5000
Li 0.0000 0.0000 0.0000
Li 0.5000 0.0000 0.5000
Pr 0.0000 0.0000 0.5000
Pr 0.0000 0.5000 0.0000
Pr 0.0000 0.5000 0.5000
Pr 0.5000 0.5000 0.0000
Se 0.2454 0.2501 0.9953
Se 0.2452 0.7499 0.4953
Se 0.2480 0.2470 0.4989
Se 0.2480 0.7491 0.0011
Se 0.7520 0.2509 0.9989
Se 0.7520 0.7530 0.5011
Se 0.7548 0.2501 0.5047
Se 0.7546 0.7499 0.0047

## Properties
As for the total DFT energy (no corrections): -79.920 eV for the cell shown. The value obtained for the energy relative to the elements, uncorrected is -13.2 eV per formula unit. For the calculated volume, the calculation gives 27.115 A^3/atom.

No. 7
This record from Alexandria describes a geometry-optimized KV3Cl structure. The functional is PBE-GGA.

abc: 4.5365 4.5365 4.5365
angles: 90.00 90.00 90.00
Atoms (fractional coordinates):
K 0.0000 0.0000 0.0000
V 0.0000 0.5000 0.5000
V 0.5000 0.0000 0.5000
V 0.5000 0.5000 0.0000
Cl 0.5000 0.5000 0.5000

## Properties
For the energy relative to the lowest polymorph listed for this composition, the calculation gives 0.000 eV per atom. As for the total DFT energy (no corrections): -24.456 eV for the cell shown. The value obtained for the energy relative to the elements, uncorrected is 5.8 eV per formula unit. For the calculated volume, the calculation gives 18.672 A^3/atom.

No. 8
This record from Alexandria describes a geometry-optimized BaYAl2 structure. The functional is PBE-GGA.

abc: 4.5827 7.1182 7.1182
angles: 31.32 90.00 90.00
Atoms (fractional coordinates):
Ba 0.0000 0.0000 0.0000
Y 0.5000 0.7052 0.7052
Al 0.0000 0.2693 0.2693
Al 0.5000 0.3803 0.3803

## Properties
As for the energy of formation: -171 meV per atom. For the energy relative to the lowest polymorph listed for this composition, the calculation gives 0.059 eV per atom. As for the total DFT energy (no corrections): -16.557 eV for the cell shown. For the calculated volume, the calculation gives 30.179 A^3/atom.

- Look up the total DFT energy (no corrections) of the second one.
  -41.539 eV for the cell shown

- Among the records above, which one has the highest calculated volume?
  BaYAl2

- Look up the calculated volume of the eighth one.
  30.179 A^3/atom